Density functional theory data (PBE) for a relaxed SiBMoIr2 crystal.

Properties
Crystal system = tetragonal
Calculated total energy = -34.32 eV per cell
E_form (uncorrected) = 1267 meV per atom
V = 15.44 Å³/atom

Cell lengths 4.610, 4.610, 3.633 Å; angles 90.00, 90.00, 90.00 degrees
Fractional coordinates of all 5 atoms:
1 Si 0.000 0.000 0.000
2 B 0.000 0.000 0.500
3 Mo 0.500 0.500 0.500
4 Ir 0.000 0.500 0.000
5 Ir 0.500 0.000 0.000